Crystalline Cu2PbS2 at its relaxed geometry, computed with PBE.

## Properties
Uncorrected energy: -4.1092 eV per atom

Lattice parameters (Å, degrees): 3.981 7.796 6.669 90.00 115.13 90.00
Fractional coordinates of all 10 atoms:
Cu  0.122  0.145  0.457
Cu  0.122  0.355  0.957
Cu  0.878  0.645  0.043
Cu  0.878  0.855  0.543
Pb  0.500  0.000  0.000
Pb  0.500  0.500  0.500
S  0.214  0.648  0.820
S  0.214  0.852  0.320
S  0.786  0.148  0.680
S  0.786  0.352  0.180